A geometry-optimized YHgAu2 structure, computed with PBEsol.

Geometry as extended XYZ:
```
4
Lattice="3.559 0.000 0.000 0.000 3.559 0.000 0.000 0.000 6.466" Properties=species:S:1:pos:R:3 pbc="T T T"
Y 0.000 0.000 0.000
Hg 1.779 1.779 4.538
Au 0.000 0.000 3.053
Au 1.779 1.779 1.553
```

Values from the calculation:
The value obtained for the total energy is -17.242 eV per cell. Its space-group type is P4mm, No. 99. For the formation energy, the calculation gives -501.1 meV/atom.